This record from the Alexandria database describes crystalline WO3 at its relaxed geometry. The functional is GGA+U.

Cell: 5.4260 5.4504 7.7400 Å, 90.00 90.00 90.00°
With the nearest neighbours (Å) after each atom.
Space group P2_12_12_1 (No. 19)
Inequivalent atoms, fractional coordinates:
W1 0.2385 0.0004 0.0169 (multiplicity 4)  6 O 1.85-2.04
O1 0.0071 0.2594 0.0186 (multiplicity 4)  2 W 1.89-1.98
O2 0.0088 0.2564 0.4814 (multiplicity 4)  2 W 1.89-1.98
O3 0.2134 0.0011 0.7534 (multiplicity 4)  2 W 1.85-2.04

Mass density, g/cm³: 6.727
Total DFT energy (no corrections), eV per atom: -7.51


This record from the Alexandria database describes crystalline W5O7 at its relaxed geometry. The functional is GGA+U.

Cell: 3.2980 11.9229 17.0183 Å, 90.00 90.00 90.00°
With the nearest neighbours (Å) after each atom.
Space group Cmcm (No. 63)
Inequivalent atoms, fractional coordinates:
W1 0.0000 0.0000 0.0000 (multiplicity 4)  2 O 2.19
W2 0.0000 0.2692 0.0841 (multiplicity 8)  6 O 2.12-2.25
W3 0.0000 0.4673 0.6491 (multiplicity 8)  3 O 2.00-2.09
O1 0.0000 0.1080 0.6044 (multiplicity 8)  3 W 2.19-2.23
O2 0.0000 0.1370 0.1672 (multiplicity 8)  3 W 2.09-2.12
O3 0.0000 0.3375 0.5393 (multiplicity 8)  4 W 2.22-2.43
O4 0.0000 0.4468 0.2500 (multiplicity 4)  2 W 2.00

Mass density, g/cm³: 10.235
Total DFT energy (no corrections), eV per atom: -6.96